1.
The following is a GGA-PBE calculation of a relaxed structure of Hf3GaTc, from Alexandria.

DFT total energy   -7.673 eV per atom
Energy of formation from the pure elements   94.28 kJ per mole of atoms
Space-group type   Pm-3m

Lattice parameters (Å, degrees): 4.853 4.853 4.853 90.00 90.00 90.00
Positions (direct):
Hf 0.000 0.500 0.000
Hf 0.000 0.000 0.500
Hf 0.500 0.000 0.000
Tc 0.500 0.500 0.500
Ga 0.000 0.000 0.000

2.
The following is a GGA-PBE calculation of a relaxed structure of Y3Ho3TmS8, from Alexandria.

Formation energy without anion corrections   -2.048 eV/atom
DFT total energy   -6.755 eV per atom
Space-group type   R-3m

Lattice parameters (Å, degrees): 7.777 7.777 7.785 119.96 90.00 120.00
Positions (direct):
Y 0.000 0.000 0.000
Y 0.000 0.500 0.000
Y 0.500 0.500 0.000
Ho 0.500 0.000 0.500
Ho 0.500 0.500 0.500
Ho 0.000 0.500 0.500
Tm 0.000 0.000 0.500
S 0.251 0.502 0.253
S 0.749 0.498 0.747
S 0.752 0.503 0.254
S 0.248 0.497 0.746
S 0.752 0.002 0.254
S 0.248 0.998 0.746
S 0.250 0.002 0.254
S 0.750 0.998 0.746

3.
The following is a GGA-PBE calculation of a relaxed structure of K2TaCdIn, from Alexandria.

DFT total energy   -2.181 eV per atom
Energy of formation from the pure elements   131.13 kJ per mole of atoms
Space-group type   P4/mmm

Lattice parameters (Å, degrees): 6.246 5.321 6.246 90.00 90.00 90.00
Positions (direct):
Cd 0.000 0.000 0.000
K 0.000 0.000 0.500
K 0.500 0.000 0.000
In 0.000 0.500 0.000
Ta 0.500 0.500 0.500

4.
The following is a GGA-PBE calculation of a relaxed structure of SmHoPd14, from Alexandria.

DFT total energy   -5.522 eV per atom
Energy of formation from the pure elements   -38.29 kJ per mole of atoms
Space-group type   P4/mmm

Lattice parameters (Å, degrees): 5.780 5.780 7.963 90.00 90.00 90.00
Positions (direct):
Sm 0.875 0.875 0.500
Ho 0.375 0.375 0.500
Pd 0.875 0.875 0.000
Pd 0.375 0.375 0.000
Pd 0.875 0.375 0.500
Pd 0.875 0.375 0.000
Pd 0.375 0.875 0.500
Pd 0.375 0.875 0.000
Pd 0.623 0.127 0.240
Pd 0.623 0.127 0.760
Pd 0.127 0.623 0.240
Pd 0.127 0.623 0.760
Pd 0.623 0.623 0.240
Pd 0.623 0.623 0.760
Pd 0.127 0.127 0.240
Pd 0.127 0.127 0.760